The following is a DFT calculation (PBE-GGA) of a geometry-optimized HoScI5 structure.

Cell and atoms, written as POSCAR:
```
HoScI5
1.0
-3.566 -0.505 1.802
-2.452 -6.427 -6.653
5.982 -11.188 8.704
Ho Sc I
2 2 10
Direct
0.250 0.342 0.316
0.750 0.658 0.684
0.750 0.081 0.139
0.250 0.919 0.861
0.250 0.025 0.286
0.750 0.128 0.930
0.750 0.278 0.457
0.250 0.311 0.116
0.250 0.428 0.721
0.750 0.572 0.279
0.750 0.689 0.884
0.250 0.722 0.543
0.250 0.872 0.070
0.750 0.975 0.714
```

Summary:
* symmetry: P2_1/m (11)
* raw formation energy: -1.208 eV/atom